(1)
A geometry-optimized AlV2S4 structure. Source: Alexandria, functional GGA-PBE.

Output
**Crystal system**: tetragonal
**M_tot**: 0.691 μB per atom

abc: 7.1319 7.1319 7.1347
angles: 59.97 59.97 89.93
Closest atoms and distances in Å follow each position.
Fractional positions:
S: 0.2564 0.7685 0.9876  1 Al 2.29, 3 V 2.46
S: 0.7436 0.2315 0.0124  1 Al 2.29, 3 V 2.46
S: 0.2685 0.7564 0.4876  1 Al 2.29, 3 V 2.46
S: 0.2562 0.2440 0.5124  1 Al 2.29, 3 V 2.46
S: 0.2560 0.2438 0.9876  1 Al 2.29, 3 V 2.46
S: 0.7438 0.7560 0.4876  1 Al 2.29, 3 V 2.46
S: 0.7315 0.2436 0.5124  1 Al 2.29, 3 V 2.46
S: 0.7440 0.7562 0.0124  1 Al 2.29, 3 V 2.46
Al: 0.8749 0.6251 0.7500  4 S 2.29
Al: 0.1251 0.3749 0.2500  4 S 2.29
V: 0.5000 0.5000 0.5000  6 S 2.46
V: 0.5000 0.0000 0.5000  6 S 2.46
V: 0.0000 0.0000 0.0000  6 S 2.46
V: 0.5000 0.0000 0.0000  6 S 2.46

***

(2)
A geometry-optimized AlVS4 structure. Source: Alexandria, functional GGA-PBE.

Output
**Offset from the most stable computed form**: 550.7 meV per atom
**Crystal system**: tetragonal
**M_tot**: 0.146 μB per atom

abc: 6.3418 6.3418 9.2952
angles: 90.00 90.00 90.00
Closest atoms and distances in Å follow each position.
Fractional positions:
Al: 0.0000 0.0000 0.5000  4 S 2.29
Al: 0.0000 0.0000 0.0000  4 S 2.29
V: 0.0000 0.5000 0.0000  4 S 2.26
V: 0.5000 0.0000 0.5000  4 S 2.26
S: 0.7473 0.2577 0.5000  1 V 2.26, 1 Al 2.29
S: 0.7423 0.2527 0.0000  1 V 2.26, 1 Al 2.29
S: 0.7473 0.7423 0.5000  1 V 2.26, 1 Al 2.29
S: 0.2577 0.7473 0.0000  1 V 2.26, 1 Al 2.29
S: 0.2527 0.7423 0.5000  1 V 2.26, 1 Al 2.29
S: 0.2577 0.2527 0.0000  1 V 2.26, 1 Al 2.29
S: 0.7423 0.7473 0.0000  1 V 2.26, 1 Al 2.29
S: 0.2527 0.2577 0.5000  1 V 2.26, 1 Al 2.29

***

(3)
A geometry-optimized Al2V2S7 structure. Source: Alexandria, functional GGA-PBE.

Output
**Crystal system**: monoclinic
**M_tot**: 0.180 μB per atom

abc: 6.2176 6.3624 6.3624
angles: 110.33 96.75 96.75
Closest atoms and distances in Å follow each position.
Fractional positions:
Al: 0.3735 0.2582 0.2582  4 S 2.18-2.41
Al: 0.6265 0.7418 0.7418  4 S 2.18-2.41
V: 0.0000 0.3226 0.6774  6 S 2.40-2.41
V: 0.0000 0.6774 0.3226  6 S 2.40-2.41
S: 0.7987 0.9433 0.5556  1 Al 2.29, 2 V 2.40-2.41
S: 0.2013 0.4444 0.0567  1 Al 2.29, 2 V 2.40-2.41
S: 0.2013 0.0567 0.4444  1 Al 2.29, 2 V 2.40-2.41
S: 0.7987 0.5556 0.9433  1 Al 2.29, 2 V 2.40-2.41
S: 0.5000 0.0000 0.0000  2 Al 2.18
S: 0.2493 0.5731 0.5731  2 V 2.40, 2 Al 2.41-2.56
S: 0.7507 0.4269 0.4269  2 V 2.40, 2 Al 2.41-2.56

***

(4)
A geometry-optimized AlV2S6 structure. Source: Alexandria, functional GGA-PBE.

Output
**Crystal system**: tetragonal
**M_tot**: 0.118 μB per atom

abc: 5.7004 5.7004 10.1178
angles: 90.00 90.00 90.00
Closest atoms and distances in Å follow each position.
Fractional positions:
Al: 0.5000 0.5000 0.0000  6 S 2.35-2.40
Al: 0.0000 0.0000 0.5000  6 S 2.35-2.40
V: 0.5000 0.5000 0.3431  6 S 2.28-2.46
V: 0.5000 0.5000 0.6569  6 S 2.28-2.46
V: 0.0000 0.0000 0.1569  6 S 2.28-2.46
V: 0.0000 0.0000 0.8431  6 S 2.28-2.46
S: 0.6957 0.6957 0.1715  1 Al 2.35, 2 V 2.35-2.46
S: 0.6957 0.6957 0.8285  1 Al 2.35, 2 V 2.35-2.46
S: 0.7025 0.7025 0.5000  2 V 2.28, 1 Al 2.40
S: 0.7975 0.2025 0.0000  2 V 2.28, 1 Al 2.40
S: 0.8043 0.1957 0.3285  1 Al 2.35, 2 V 2.35-2.46
S: 0.8043 0.1957 0.6715  1 Al 2.35, 2 V 2.35-2.46
S: 0.1957 0.8043 0.3285  1 Al 2.35, 2 V 2.35-2.46
S: 0.1957 0.8043 0.6715  1 Al 2.35, 2 V 2.35-2.46
S: 0.2025 0.7975 0.0000  2 V 2.28, 1 Al 2.40
S: 0.2975 0.2975 0.5000  2 V 2.28, 1 Al 2.40
S: 0.3043 0.3043 0.1715  1 Al 2.35, 2 V 2.35-2.46
S: 0.3043 0.3043 0.8285  1 Al 2.35, 2 V 2.35-2.46

***

(5)
A geometry-optimized Al2VS structure. Source: Alexandria, functional GGA-PBE.

Output
**Crystal system**: tetragonal
**M_tot**: 0.728 μB per atom

abc: 7.1358 7.1358 5.7035
angles: 51.28 51.28 90.00
Closest atoms and distances in Å follow each position.
Fractional positions:
S: 0.5000 0.5000 0.0000  4 Al 2.45, 2 V 2.66
S: 0.2500 0.7500 0.5000  4 Al 2.45, 2 V 2.66
Al: 0.5916 0.1250 0.2500  2 S 2.45, 2 Al 2.70
Al: 0.1584 0.6250 0.2500  2 S 2.45, 2 Al 2.70
Al: 0.3750 0.4084 0.7500  2 S 2.45, 2 Al 2.70
Al: 0.8750 0.8416 0.7500  2 S 2.45, 2 Al 2.70
V: 0.0000 0.0000 0.0000  2 S 2.66, 4 Al 2.78
V: 0.7500 0.2500 0.5000  2 S 2.66, 4 Al 2.78

***

(6)
A geometry-optimized AlVS structure. Source: Alexandria, functional GGA-PBE.

Output
**Crystal system**: orthorhombic
**M_tot**: 0.240 μB per atom

abc: 4.3926 3.1674 6.9372
angles: 76.80 90.00 90.00
Closest atoms and distances in Å follow each position.
Fractional positions:
V: 0.7500 0.4545 0.0910  1 S 2.20
V: 0.2500 0.5455 0.9090  1 S 2.20
S: 0.7500 0.2918 0.4164  1 V 2.20, 1 Al 2.37
S: 0.2500 0.7082 0.5836  1 V 2.20, 1 Al 2.37
Al: 0.7500 0.1165 0.7670  1 S 2.37
Al: 0.2500 0.8835 0.2330  1 S 2.37

***

no.,ΔE_f (raw) (eV per atom)
1,-0.9096
2,-0.1834
3,-0.6742
4,-0.6772
5,0.1088
6,-0.0747